1.
Computed, not measured: a geometry-optimized Pm4NdRu4 structure at the PBE level of DFT.

The calculated total energy is -6.762 eV/atom. The formation energy comes out at 0.00 eV per atom. Its calculated density is 8.15 Mg/m³.

It has space group P4_2/n (No. 86, origin choice 2), with a = 8.988 Å, b = 8.988 Å, c = 5.690 Å, α = 90.00°, β = 90.00° and γ = 90.00°. Symmetry generates all atoms from Pm at (0.060, 0.678, 0.124), Nd at (0.250, 0.250, 0.250) and Ru at (0.012, 0.621, 0.612).

=====

2.
Computed, not measured: a geometry-optimized Pm3Nd3Ru2 structure at the PBE level of DFT.

The calculated total energy is -5.995 eV/atom. The formation energy comes out at -0.11 eV per atom. Its calculated density is 7.60 Mg/m³.

It has space group Cmcm (No. 63), with a = 5.028 Å, b = 12.619 Å, c = 14.737 Å, α = 90.00°, β = 90.00° and γ = 90.00°. Symmetry generates all atoms from Pm at (0.000, 0.157, 0.019), Pm at (0.000, 0.180, 0.750), Nd at (0.000, 0.117, 0.250), Nd at (0.000, 0.449, 0.115) and Ru at (0.000, 0.334, 0.614).

=====

3.
Computed, not measured: a geometry-optimized Pm2Nd2Ru3 structure at the PBE level of DFT.

The calculated total energy is -6.742 eV/atom. The formation energy comes out at -0.05 eV per atom. Its calculated density is 8.42 Mg/m³.

It has space group P-1 (No. 2), with a = 3.566 Å, b = 6.235 Å, c = 7.900 Å, α = 94.33°, β = 91.14° and γ = 96.69°. Symmetry generates all atoms from Pm at (0.222, 0.136, 0.187), Nd at (0.192, 0.345, 0.666), Ru at (0.256, 0.648, 0.040) and Ru at (0.500, 0.000, 0.500).

=====

4.
Computed, not measured: a geometry-optimized Pm3Nd5Ru2 structure at the PBE level of DFT.

The calculated total energy is -5.718 eV/atom. The formation energy comes out at -0.05 eV per atom. Its calculated density is 6.89 Mg/m³.

It has space group Ibam (No. 72), with a = 10.471 Å, b = 15.316 Å, c = 8.171 Å, α = 90.00°, β = 90.00° and γ = 90.00°. Symmetry generates all atoms from Pm at (0.000, 0.000, 0.250), Pm at (0.239, 0.373, 0.000), Nd at (0.000, 0.253, 0.250), Nd at (0.000, 0.500, 0.250), Nd at (0.238, 0.379, 0.500) and Ru at (0.000, 0.131, 0.000).

=====

5.
Computed, not measured: a geometry-optimized Pm2NdRu structure at the PBE level of DFT.

The calculated total energy is -6.094 eV/atom. The formation energy comes out at -0.21 eV per atom. Its calculated density is 7.66 Mg/m³.

It has space group Pnma (No. 62), with a = 7.411 Å, b = 9.676 Å, c = 6.475 Å, α = 90.00°, β = 90.00° and γ = 90.00°. Symmetry generates all atoms from Pm at (0.176, 0.067, 0.170), Nd at (0.042, 0.250, 0.643) and Ru at (0.114, 0.750, 0.946).

=====

6.
Computed, not measured: a geometry-optimized PmNdRu structure at the PBE level of DFT.

The calculated total energy is -6.423 eV/atom. The formation energy comes out at -0.16 eV per atom. Its calculated density is 7.74 Mg/m³.

It has space group F-43m (No. 216), with a = 6.945 Å, b = 6.945 Å, c = 6.945 Å, α = 90.00°, β = 90.00° and γ = 90.00°. Symmetry generates all atoms from Pm at (0.000, 0.000, 0.000), Nd at (0.000, 0.000, 0.500) and Ru at (0.250, 0.250, 0.750).

=====

7.
Computed, not measured: a geometry-optimized PmNd2Ru structure at the PBE level of DFT.

The calculated total energy is -6.089 eV/atom. The formation energy comes out at -0.20 eV per atom. Its calculated density is 7.59 Mg/m³.

It has space group Pnma (No. 62), with a = 7.411 Å, b = 9.757 Å, c = 6.472 Å, α = 90.00°, β = 90.00° and γ = 90.00°. Symmetry generates all atoms from Pm at (0.043, 0.250, 0.145), Nd at (0.176, 0.067, 0.671) and Ru at (0.115, 0.750, 0.449).

=====

8.
Computed, not measured: a geometry-optimized PmNdRu structure at the PBE level of DFT.

The calculated total energy is -6.279 eV/atom. The formation energy comes out at -0.01 eV per atom. Its calculated density is 8.56 Mg/m³.

It has space group P3m1 (No. 156), with a = 4.7584 Å, b = 4.7584 Å, c = 3.8621 Å, α = 90.00°, β = 90.00° and γ = 120.00°. Symmetry generates all atoms from Pm at (0.0000, 0.0000, 0.0000), Nd at (0.3333, 0.6667, 0.5520) and Ru at (0.6667, 0.3333, 0.2695).